{"formula": "InSn2TeRh", "functional": "GGA-PBE", "state": "optimized geometry", "density_g_cm3": 7.003, "spacegroup": "P4/mmm (123)", "e_tot_ev_per_cell": -22.451, "n_ef_per_ev_atom": 0.280, "cell": [[5.1548, 0.0000, 0.0000], [0.0000, 5.1548, 0.0000], [0.0000, 0.0000, 5.2001]], "species": ["In", "Sn", "Sn", "Te", "Rh"], "fractional_positions": [[0.0000, 0.0000, 0.0000], [0.0000, 0.5000, 0.5000], [0.5000, 0.0000, 0.5000], [0.5000, 0.5000, 0.0000], [0.0000, 0.0000, 0.5000]]}